# 1
! SrPuIn2 (PBE, relaxed); values from VASP
&SYSTEM
  ibrav = 0, nat = 4, ntyp = 3
/
ATOMIC_SPECIES
Sr 87.62 Sr.upf
Pu 244.00 Pu.upf
In 114.82 In.upf
ATOMIC_POSITIONS crystal
Sr 0.000 0.000 0.000
Pu 0.000 0.000 0.500
In 0.500 0.500 0.263
In 0.500 0.500 0.737
CELL_PARAMETERS angstrom
3.513 0.000 0.000
0.000 3.513 0.000
0.000 0.000 9.482
! **Total DFT energy (no corrections)**: -22.4 eV/cell
! **Space group**: P4/mmm
! **Total magnetization**: 5.61 μB/f.u.
! **DFT formation energy**: -0.23 eV per atom


# 2
! BaYRe2 (PBE, relaxed); values from VASP
&SYSTEM
  ibrav = 0, nat = 8, ntyp = 3
/
ATOMIC_SPECIES
Ba 137.33 Ba.upf
Y 88.91 Y.upf
Re 186.21 Re.upf
ATOMIC_POSITIONS crystal
Ba 0.000 0.000 0.000
Ba 0.500 0.500 0.000
Y 0.000 0.500 0.000
Y 0.500 0.000 0.000
Re 0.250 0.250 0.500
Re 0.250 0.750 0.500
Re 0.750 0.250 0.500
Re 0.750 0.750 0.500
CELL_PARAMETERS angstrom
5.976 0.000 0.000
0.000 10.118 0.000
-1.083 0.000 2.821
! **Total DFT energy (no corrections)**: -56.6 eV/cell
! **Space group**: C2/m
! **Total magnetization**: 0.00 μB/f.u.
! **DFT formation energy**: 1.25 eV per atom


# 3
! SmMgCdPt (PBE, relaxed); values from VASP
&SYSTEM
  ibrav = 0, nat = 16, ntyp = 4
/
ATOMIC_SPECIES
Sm 150.36 Sm.upf
Mg 24.30 Mg.upf
Cd 112.41 Cd.upf
Pt 195.08 Pt.upf
ATOMIC_POSITIONS crystal
Sm 0.000 0.000 0.000
Sm 0.000 0.500 0.500
Sm 0.500 0.000 0.500
Sm 0.500 0.500 0.000
Mg 0.000 0.000 0.500
Mg 0.000 0.500 0.000
Mg 0.500 0.000 0.000
Mg 0.500 0.500 0.500
Cd 0.250 0.250 0.250
Cd 0.250 0.750 0.750
Cd 0.750 0.250 0.750
Cd 0.750 0.750 0.250
Pt 0.250 0.250 0.750
Pt 0.250 0.750 0.250
Pt 0.750 0.250 0.250
Pt 0.750 0.750 0.750
CELL_PARAMETERS angstrom
7.026 0.000 0.000
0.000 7.026 0.000
0.000 0.000 7.026
! **Total DFT energy (no corrections)**: -62.8 eV/cell
! **Space group**: F-43m
! **Total magnetization**: 0.00 μB/f.u.
! **DFT formation energy**: -0.61 eV per atom